(1)
A relaxed structure of BeSe2N2. Source: Alexandria via LeMat-Bulk, functional GGA-PBE.

Cell lengths 3.5967, 3.5967, 7.0107 Å; angles 90.00, 90.00, 90.00 degrees
Last column: nearest neighbours and their distance in Å.
Fractional positions:
Se 0.0000 0.0000 0.0000  4 N 1.80
Se 0.0000 0.0000 0.5000  4 Be 2.54
N 0.5000 0.0000 0.0000  2 Se 1.80
N 0.0000 0.5000 0.0000  2 Se 1.80
Be 0.5000 0.5000 0.5000  4 Se 2.54

Summary:
Calculated volume (Å³/f.u.): 90.7
Energy relative to the elements, uncorrected (eV per atom): 1.5219
Polymorph energy (0 for the lowest one) (eV/atom): 0.314
Electronic total energy (eV/atom): -3.9473

(2)
A relaxed structure of Be3SeN. Source: Alexandria via LeMat-Bulk, functional GGA-PBE.

Cell lengths 3.6605, 3.6605, 3.6605 Å; angles 90.00, 90.00, 90.00 degrees
Last column: nearest neighbours and their distance in Å.
Fractional positions:
Be 0.0000 0.5000 0.0000  2 N 1.83
Se 0.5000 0.5000 0.5000  12 Be 2.59
Be 0.0000 0.0000 0.5000  2 N 1.83
N 0.0000 0.0000 0.0000  6 Be 1.83
Be 0.5000 0.0000 0.0000  2 N 1.83

Summary:
Calculated volume (Å³/f.u.): 49.0
Energy relative to the elements, uncorrected (eV per atom): -0.0235
Polymorph energy (0 for the lowest one) (eV/atom): 0.000
Electronic total energy (eV/atom): -4.6212

(3)
A relaxed structure of BeSe2N2. Source: Alexandria via LeMat-Bulk, functional GGA-PBE.

Cell lengths 4.6436, 4.6436, 3.0720 Å; angles 90.00, 90.00, 90.00 degrees
Last column: nearest neighbours and their distance in Å.
Fractional positions:
N 0.0000 0.0000 0.5000  2 Be 1.54
Se 0.0000 0.5000 0.0000  2 Be 2.32
Be 0.0000 0.0000 0.0000  2 N 1.54
Se 0.5000 0.0000 0.0000  2 Be 2.32
N 0.5000 0.5000 0.5000  8 Se 2.78, 2 N 3.07

Summary:
Calculated volume (Å³/f.u.): 66.2
Energy relative to the elements, uncorrected (eV per atom): 1.4683
Polymorph energy (0 for the lowest one) (eV/atom): 0.260
Electronic total energy (eV/atom): -4.0009

(4)
A relaxed structure of BeSeN2. Source: Alexandria via LeMat-Bulk, functional GGA-PBE.

Cell lengths 4.4671, 4.4671, 5.4054 Å; angles 65.59, 65.59, 90.00 degrees
Last column: nearest neighbours and their distance in Å.
Fractional positions:
N 0.3750 0.4440 0.7500  2 Be 1.76
N 0.1940 0.6250 0.2500  2 Be 1.76
N 0.8750 0.8060 0.7500  2 Be 1.76
N 0.5560 0.1250 0.2500  2 Be 1.76
Be 0.5000 0.5000 0.0000  4 N 1.76
Be 0.2500 0.7500 0.5000  4 N 1.76
Se 0.0000 0.0000 0.0000  4 N 2.12
Se 0.7500 0.2500 0.5000  4 N 2.12

Summary:
Calculated volume (Å³/f.u.): 43.8
Energy relative to the elements, uncorrected (eV per atom): 0.5352
Polymorph energy (0 for the lowest one) (eV/atom): 0.000
Electronic total energy (eV/atom): -5.4302

(5)
A relaxed structure of BeSe3N. Source: Alexandria via LeMat-Bulk, functional GGA-PBE.

Cell lengths 4.3482, 4.3482, 4.3482 Å; angles 90.00, 90.00, 90.00 degrees
Last column: nearest neighbours and their distance in Å.
Fractional positions:
Se 0.0000 0.5000 0.0000  2 N 2.17
N 0.0000 0.0000 0.0000  6 Se 2.17
Se 0.5000 0.0000 0.0000  2 N 2.17
Be 0.5000 0.5000 0.5000  12 Se 3.07
Se 0.0000 0.0000 0.5000  2 N 2.17

Summary:
Calculated volume (Å³/f.u.): 82.2
Energy relative to the elements, uncorrected (eV per atom): 1.1355
Polymorph energy (0 for the lowest one) (eV/atom): 0.000
Electronic total energy (eV/atom): -3.3656

(6)
A relaxed structure of BeSe2N. Source: Alexandria via LeMat-Bulk, functional GGA-PBE.

Cell lengths 6.3138, 6.3138, 6.3138 Å; angles 33.80, 33.80, 33.80 degrees
Last column: nearest neighbours and their distance in Å.
Fractional positions:
N 0.0000 0.0000 0.0000  2 Se 1.75
Se 0.9020 0.9020 0.9020  1 N 1.75
Se 0.0980 0.0980 0.0980  1 N 1.75
Be 0.5000 0.5000 0.5000  6 Se 2.45

Summary:
Calculated volume (Å³/f.u.): 69.4
Energy relative to the elements, uncorrected (eV per atom): 0.6194
Polymorph energy (0 for the lowest one) (eV/atom): 0.003
Electronic total energy (eV/atom): -4.1357

(7)
A relaxed structure of Be3SeN. Source: Alexandria via LeMat-Bulk, functional GGA-PBE.

Cell lengths 4.1147, 4.1147, 4.1147 Å; angles 90.00, 90.00, 90.00 degrees
Last column: nearest neighbours and their distance in Å.
Fractional positions:
Be 0.5000 0.0000 0.0000  2 Se 2.06
N 0.5000 0.5000 0.5000  12 Be 2.91
Be 0.0000 0.5000 0.0000  2 Se 2.06
Se 0.0000 0.0000 0.0000  6 Be 2.06
Be 0.0000 0.0000 0.5000  2 Se 2.06

Summary:
Calculated volume (Å³/f.u.): 69.7
Energy relative to the elements, uncorrected (eV per atom): 1.7122
Polymorph energy (0 for the lowest one) (eV/atom): 1.736
Electronic total energy (eV/atom): -2.8855

(8)
A relaxed structure of BeSe2N. Source: Alexandria via LeMat-Bulk, functional GGA-PBE.

Cell lengths 4.2612, 4.2612, 4.2612 Å; angles 60.00, 60.00, 60.00 degrees
Last column: nearest neighbours and their distance in Å.
Fractional positions:
Be 0.0000 0.0000 0.0000  8 Se 2.61
Se 0.7500 0.7500 0.7500  4 Be 2.61, 4 N 2.61
N 0.5000 0.5000 0.5000  8 Se 2.61
Se 0.2500 0.2500 0.2500  4 Be 2.61, 4 N 2.61

Summary:
Calculated volume (Å³/f.u.): 54.7
Energy relative to the elements, uncorrected (eV per atom): 1.4054
Polymorph energy (0 for the lowest one) (eV/atom): 0.789
Electronic total energy (eV/atom): -3.3497